Here is an optimized crystal structure of Zr2HgPd2 from OQMD. Energies are from PBE-GGA.

The calculation puts the magnetic moment at 0.89 μB per formula unit. The uncorrected energy comes out at -56.508 eV per cell. The volume is 20.20 Å³/atom.

The structure belongs to space group I4/mmm (No. 139); the cell edges are 4.001, 4.001 and 12.621 Å and the angles 90.00°, 90.00° and 90.00°. The distinct sites, in fractional coordinates, are Zr at (0.000, 0.000, 0.108), Hg at (0.000, 0.000, 0.500) and Pd at (0.000, 0.500, 0.250).



Here is an optimized crystal structure of Cu4Ag from OQMD. Energies are from PBE-GGA.

The polymorph energy (0 for the lowest one) is 20 meV/atom. The volume is 13.06 Å³/atom.

The structure belongs to space group C2/m (No. 12); the cell edges are 17.393, 2.730 and 5.570 Å and the angles 90.00°, 98.99° and 90.00°. The distinct sites, in fractional coordinates, are Cu at (0.007, 0.000, 0.259), Cu at (0.089, 0.500, 0.022), Cu at (0.094, 0.500, 0.569), Cu at (0.195, 0.000, 0.854) and Ag at (0.192, 0.000, 0.337).



Here is an optimized crystal structure of CdSbNO from OQMD. Energies are from PBE-GGA.

The polymorph energy (0 for the lowest one) is 5 meV/atom. The volume is 16.43 Å³/atom.

The structure belongs to space group Pmc2_1 (No. 26); the cell edges are 3.347, 6.081 and 6.460 Å and the angles 90.00°, 90.00° and 90.00°. The distinct sites, in fractional coordinates, are Cd at (0.000, 0.210, 0.000), Sb at (0.500, 0.253, 0.482), N at (0.000, 0.141, 0.656) and O at (0.500, 0.439, 0.085).



Here is an optimized crystal structure of GdDyTe2F2 from OQMD. Energies are from PBE-GGA.

The calculation puts the magnetic moment at 0.00 μB per formula unit. The uncorrected energy comes out at -34.486 eV per cell. The volume is 20.07 Å³/atom.

The structure belongs to space group P4mm (No. 99); the cell edges are 4.035, 4.035 and 7.394 Å and the angles 90.00°, 90.00° and 90.00°. The distinct sites, in fractional coordinates, are Gd at (0.000, 0.000, 0.000), Dy at (0.500, 0.500, 0.396), Te at (0.000, 0.000, 0.558), Te at (0.500, 0.500, 0.835) and F at (0.000, 0.500, 0.199).